This record from Alexandria via LeMat-Bulk describes Li4CoOF4 at its PBEsol-relaxed geometry. The functional is SCAN.

Lattice parameters (Å, degrees): 2.8220 2.8220 10.5990 97.65 97.65 90.00
Element x y z (fractional)
Li (0.3968, 0.3968, 0.7935)
Li (0.6032, 0.6032, 0.2065)
Li (0.2024, 0.2024, 0.4047)
Li (0.7976, 0.7976, 0.5953)
Co (0.0000, 0.0000, 0.0000)
O (0.5000, 0.5000, 0.0000)
F (0.8936, 0.8936, 0.7872)
F (0.1064, 0.1064, 0.2128)
F (0.7017, 0.7017, 0.4033)
F (0.2983, 0.2983, 0.5967)

Results
Energy relative to the elements, uncorrected   -2.707 eV/atom



This record from Alexandria via LeMat-Bulk describes Li6Co2OF11 at its PBEsol-relaxed geometry. The functional is SCAN.

Lattice parameters (Å, degrees): 4.9576 5.3177 8.4326 107.28 90.01 117.79
Element x y z (fractional)
Li (0.2089, 0.4450, 0.0819)
Li (0.7464, 0.4394, 0.5756)
Li (0.5124, 0.0525, 0.1680)
Li (0.0556, 0.0578, 0.6744)
Li (0.2935, 0.5956, 0.4369)
Li (0.4466, 0.9016, 0.8131)
Co (0.9848, 0.9706, 0.3131)
Co (0.7628, 0.5266, 0.9368)
O (0.7175, 0.7485, 0.1250)
F (0.2595, 0.2334, 0.2165)
F (0.7727, 0.2522, 0.7358)
F (0.8106, 0.2177, 0.3617)
F (0.7384, 0.7600, 0.4420)
F (0.1873, 0.7335, 0.9701)
F (0.2692, 0.2451, 0.5141)
F (0.7747, 0.2637, 0.0334)
F (0.3415, 0.2794, 0.8882)
F (0.1684, 0.7486, 0.6250)
F (0.2022, 0.7636, 0.2799)
F (0.7272, 0.7374, 0.8080)

Results
Energy relative to the elements, uncorrected   -2.673 eV/atom